1.
This record from Alexandria describes Al2IrBr after structural relaxation. The functional is GGA-PBE.

crystal system	orthorhombic
total moment	0.0	Bohr magnetons per cell
space-group type	Imm2, No. 44
raw formation energy	-0.2939	eV per atom
distance to the lowest polymorph of the same formula	219	meV/atom

a = 8.611 Å, b = 8.611 Å, c = 8.611 Å
α = 159.69°, β = 154.96°, γ = 32.45°
Sites, in units of the cell vectors:
Ir 0.197 0.697 0.500
Br 0.485 0.485 0.000
Al 0.078 0.078 0.000
Al 0.739 0.239 0.500

2.
This record from Alexandria describes AlGaAs2Se after structural relaxation. The functional is GGA-PBE.

crystal system	tetragonal
total moment	0.0	Bohr magnetons per cell
space-group type	P4/mmm, No. 123
raw formation energy	0.3194	eV per atom
distance to the lowest polymorph of the same formula	0	meV/atom

a = 4.880 Å, b = 4.880 Å, c = 5.060 Å
α = 90.00°, β = 90.00°, γ = 90.00°
Sites, in units of the cell vectors:
Se 0.000 0.000 0.500
As 0.500 0.000 0.000
As 0.000 0.500 0.000
Ga 0.500 0.500 0.500
Al 0.000 0.000 0.000

3.
This record from Alexandria describes SrAlOs4 after structural relaxation. The functional is GGA-PBE.

crystal system	cubic
formation energy from the elements	2.92	eV per formula unit
total moment	0.0	Bohr magnetons per cell
space-group type	F-43m, No. 216

a = 5.307 Å, b = 5.307 Å, c = 5.307 Å
α = 60.00°, β = 60.00°, γ = 60.00°
Sites, in units of the cell vectors:
Os 0.877 0.374 0.374
Os 0.374 0.877 0.374
Os 0.374 0.374 0.877
Os 0.374 0.374 0.374
Al 0.000 0.000 0.000
Sr 0.750 0.750 0.750

4.
This record from Alexandria describes Zr2TaSb after structural relaxation. The functional is GGA-PBE.

crystal system	cubic
total moment	0.0	Bohr magnetons per cell
space-group type	F-43m, No. 216
raw formation energy	-0.0169	eV per atom

a = 4.889 Å, b = 4.889 Å, c = 4.889 Å
α = 60.00°, β = 60.00°, γ = 60.00°
Sites, in units of the cell vectors:
Zr 0.250 0.250 0.250
Ta 0.750 0.750 0.750
Zr 0.000 0.000 0.000
Sb 0.500 0.500 0.500

5.
This record from Alexandria describes Te2RuSN after structural relaxation. The functional is GGA-PBE.

crystal system	tetragonal
total moment	0.0	Bohr magnetons per cell
space-group type	P4/mmm, No. 123
raw formation energy	0.4993	eV per atom
distance to the lowest polymorph of the same formula	0	meV/atom

a = 5.390 Å, b = 5.390 Å, c = 3.641 Å
α = 90.00°, β = 90.00°, γ = 90.00°
Sites, in units of the cell vectors:
N 0.000 0.000 0.500
S 0.500 0.500 0.500
Te 0.000 0.500 0.000
Ru 0.000 0.000 0.000
Te 0.500 0.000 0.000

6.
This record from Alexandria describes Rb3Ce3TmSe8 after structural relaxation. The functional is GGA-PBE.

crystal system	trigonal
total moment	2.0	Bohr magnetons per cell
space-group type	R-3m, No. 166
raw formation energy	-1.7044	eV per atom

a = 8.591 Å, b = 8.591 Å, c = 9.497 Å
α = 116.86°, β = 90.00°, γ = 120.00°
Sites, in units of the cell vectors:
Rb 0.500 0.500 0.000
Se 0.263 0.036 0.309
Se 0.226 0.453 0.690
Tm 0.000 0.000 0.500
Se 0.774 0.547 0.310
Se 0.737 0.964 0.691
Se 0.226 0.964 0.691
Ce 0.000 0.500 0.500
Ce 0.500 0.000 0.500
Rb 0.000 0.000 0.000
Se 0.733 0.466 0.699
Se 0.267 0.534 0.301
Ce 0.500 0.500 0.500
Se 0.774 0.036 0.309
Rb 0.000 0.500 0.000

7.
This record from Alexandria describes La4YEr2 after structural relaxation. The functional is GGA-PBE.

crystal system	orthorhombic
formation energy from the elements	1.62	eV per formula unit
total moment	0.0	Bohr magnetons per cell
space-group type	Imma, No. 74
distance to the lowest polymorph of the same formula	161	meV/atom

a = 6.964 Å, b = 9.083 Å, c = 9.083 Å
α = 79.23°, β = 67.46°, γ = 67.46°
Sites, in units of the cell vectors:
La 0.209 0.758 0.258
Y 0.000 0.500 0.000
Er 0.500 0.500 0.500
La 0.153 0.847 0.847
La 0.847 0.153 0.153
Er 0.714 0.036 0.536
Y 0.500 0.500 0.000
La 0.847 0.653 0.653
Er 0.286 0.964 0.464
La 0.774 0.758 0.258
La 0.153 0.347 0.347
Er 0.500 0.000 0.000
La 0.226 0.242 0.742
La 0.791 0.242 0.742

8.
This record from Alexandria describes BaSr2Ca after structural relaxation. The functional is GGA-PBE.

crystal system	orthorhombic
formation energy from the elements	0.09	eV per formula unit
total moment	0.0	Bohr magnetons per cell
space-group type	Cmmm, No. 65
distance to the lowest polymorph of the same formula	7	meV/atom

a = 4.111 Å, b = 4.111 Å, c = 13.050 Å
α = 90.00°, β = 90.00°, γ = 106.56°
Sites, in units of the cell vectors:
Sr 0.000 0.000 0.513
Ca 0.500 0.500 0.750
Sr 0.000 0.000 0.987
Ba 0.500 0.500 0.250